An optimized crystal structure of CuHgAu2F8, computed with GGA-PBE.

Cell and atoms, written as POSCAR:
```
CuHgAu2F8
1.0
-4.007 0.707 -4.822
-2.126 -5.473 2.311
0.034 4.773 4.126
Cu Hg Au F
1 1 2 8
direct
0.250 0.750 0.500
0.000 0.000 0.000
0.750 0.250 0.500
0.500 0.500 0.000
0.354 0.036 0.318
0.290 0.511 0.221
0.290 0.069 0.779
0.718 0.036 0.682
0.931 0.710 0.221
0.964 0.282 0.318
0.964 0.646 0.682
0.489 0.710 0.779
```

**Energy**: -3.13 eV/atom
**Space group**: I-4m2 (119)
**Crystal system**: tetragonal
**Density of states at the Fermi level**: 0.66 states/eV per atom



An optimized crystal structure of TiNbCI2, computed with GGA-PBE.

Cell and atoms, written as POSCAR:
```
TiNbCI2
1.0
-3.410 -2.125 2.978
3.474 -0.606 3.546
-0.951 3.724 1.568
I Nb C Ti
2 1 1 1
direct
0.000 0.500 0.000
0.500 0.000 0.000
0.000 0.000 0.500
0.000 0.000 0.000
0.500 0.500 0.500
```

**Energy**: -4.84 eV/atom
**Space group**: P4/mmm (123)
**Crystal system**: tetragonal
**Density of states at the Fermi level**: 1.30 states/eV per atom



An optimized crystal structure of Be3HRu, computed with GGA-PBE.

Cell and atoms, written as POSCAR:
```
Be3HRu
1.0
3.417 0.000 0.000
0.000 3.417 0.000
0.000 0.000 3.417
Ru H Be
1 1 3
direct
0.500 0.500 0.500
0.000 0.000 0.000
0.000 0.500 0.000
0.000 0.000 0.500
0.500 0.000 0.000
```

**Energy**: -4.87 eV/atom
**Space group**: Pm-3m (221)
**Crystal system**: cubic
**Density of states at the Fermi level**: 0.22 states/eV per atom
**Offset from the most stable computed form**: 0 meV/atom



Number 1: M_tot 1.0 Bohr magnetons per cell. Number 2: M_tot 0.0 Bohr magnetons per cell. Number 3: M_tot 0.0 Bohr magnetons per cell.